Entry 1:
12
Lattice="7.807 0.000 0.000 0.000 3.742 0.000 -2.982 0.000 9.214" Properties=species:S:1:pos:R:3 comment="PmCdC (GGA-PBE, relaxed)" ef_ev_per_atom=-0.211 de_polymorph_ev_per_atom=0.000 n_ef_per_ev_atom=0.431 spacegroup=C2/m dft_energy_ev_per_atom=-5.1739 magmom_total_mub_per_cell=0.00 pbc="T T T"
Pm -0.345 0.000 3.212
Pm 1.266 1.871 6.002
Pm 3.559 1.871 3.212
Pm 5.169 0.000 6.002
Cd 1.161 1.871 0.829
Cd -0.240 0.000 8.385
Cd 5.064 0.000 0.829
Cd 3.664 1.871 8.385
C -0.900 1.871 4.924
C 1.821 0.000 4.290
C 3.003 0.000 4.924
C 5.724 1.871 4.290

=====

Entry 2:
6
Lattice="3.760 0.000 0.000 1.830 3.546 0.000 1.795 -0.634 10.174" Properties=species:S:1:pos:R:3 comment="PmCdC (GGA-PBE, relaxed)" ef_ev_per_atom=-0.086 de_polymorph_ev_per_atom=0.125 n_ef_per_ev_atom=0.496 spacegroup=P1 dft_energy_ev_per_atom=-5.0490 magmom_total_mub_per_cell=0.00 pbc="T T T"
Pm 0.000 0.000 0.000
Pm 3.639 2.027 6.872
Cd 1.880 1.225 2.440
Cd 3.711 -0.164 4.403
C 5.506 1.698 8.872
C 5.526 0.664 8.011

=====

Entry 3:
10
Lattice="8.105 -2.041 0.000 8.105 2.041 0.000 -2.878 0.000 6.335" Properties=species:S:1:pos:R:3 comment="Pm2CdC2 (GGA-PBE, relaxed)" ef_ev_per_atom=-0.256 n_ef_per_ev_atom=0.415 spacegroup=C2/c dft_energy_ev_per_atom=-6.0286 magmom_total_mub_per_cell=0.00 pbc="T T T"
Pm 3.014 1.361 5.713
Pm 8.878 1.361 3.789
Pm 4.453 -1.361 2.546
Pm 10.317 -1.361 0.621
Cd 5.946 0.399 4.751
Cd 7.385 -0.399 1.584
C 3.075 0.536 3.072
C 1.636 -0.536 6.240
C 11.695 0.536 0.095
C 10.256 -0.536 3.262

=====

Entry 4:
16
Lattice="5.242 0.000 0.000 0.000 10.251 0.000 0.000 0.000 7.747" Properties=species:S:1:pos:R:3 comment="Pm2CdC (GGA-PBE, relaxed)" ef_ev_per_atom=-0.013 de_polymorph_ev_per_atom=0.177 n_ef_per_ev_atom=0.584 spacegroup=Ima2 dft_energy_ev_per_atom=-4.9227 magmom_total_mub_per_cell=0.00 pbc="T T T"
Pm 1.311 1.119 0.000
Pm 1.311 4.007 3.873
Pm 1.311 7.111 6.320
Pm 1.311 8.266 2.446
Pm 3.932 1.985 2.446
Pm 3.932 3.141 6.320
Pm 3.932 6.245 3.873
Pm 3.932 9.132 0.000
Cd 1.311 0.764 4.427
Cd 1.311 4.362 0.554
Cd 3.932 5.890 0.554
Cd 3.932 9.487 4.427
C 1.311 6.395 4.032
C 1.311 8.982 0.159
C 3.932 1.269 0.159
C 3.932 3.857 4.032

=====

Entry 5:
5
Lattice="5.088 0.000 0.000 0.000 5.088 0.000 0.000 0.000 5.088" Properties=species:S:1:pos:R:3 comment="Pm3CdC (GGA-PBE, relaxed)" ef_ev_per_atom=-0.182 de_polymorph_ev_per_atom=0.000 n_ef_per_ev_atom=1.188 spacegroup=Pm-3m dft_energy_ev_per_atom=-5.0606 magmom_total_mub_per_cell=0.00 pbc="T T T"
Pm 0.000 0.000 2.544
Pm 0.000 2.544 0.000
Pm 2.544 0.000 0.000
Cd 2.544 2.544 2.544
C 0.000 0.000 0.000

=====

Entry 6:
12
Lattice="3.651 0.000 0.000 -1.825 3.162 0.000 0.000 0.000 25.631" Properties=species:S:1:pos:R:3 comment="Pm2CdC (GGA-PBE, relaxed)" ef_ev_per_atom=-0.189 de_polymorph_ev_per_atom=0.000 n_ef_per_ev_atom=0.738 spacegroup=R3m dft_energy_ev_per_atom=-5.0994 magmom_total_mub_per_cell=0.00 pbc="T T T"
Pm 0.000 0.000 0.000
Pm 0.000 0.000 5.710
Pm 0.000 2.108 17.087
Pm 0.000 2.108 22.797
Pm 1.825 1.054 8.544
Pm 1.825 1.054 14.253
Cd 0.000 0.000 11.424
Cd 0.000 2.108 2.881
Cd 1.825 1.054 19.968
C 0.000 0.000 15.668
C 0.000 2.108 7.124
C 1.825 1.054 24.212

=====

Entry 7:
7
Lattice="1.831 1.057 15.155 -1.831 1.057 15.155 0.000 -2.114 15.155" Properties=species:S:1:pos:R:3 comment="Pm4CdC2 (GGA-PBE, relaxed)" ef_ev_per_atom=-0.164 n_ef_per_ev_atom=0.855 spacegroup=R-3m dft_energy_ev_per_atom=-5.6446 magmom_total_mub_per_cell=0.00 pbc="T T T"
Pm 0.000 0.000 5.636
Pm 0.000 0.000 12.343
Pm 0.000 0.000 33.124
Pm 0.000 0.000 39.830
Cd 0.000 0.000 0.000
C 0.000 0.000 19.431
C 0.000 0.000 26.036

=====

Entry 8:
5
Lattice="5.189 0.000 0.000 0.000 5.189 0.000 0.000 0.000 5.069" Properties=species:S:1:pos:R:3 comment="PmPr2CdC (GGA-PBE, relaxed)" ef_ev_per_atom=-0.140 n_ef_per_ev_atom=1.054 spacegroup=P4/mmm dft_energy_ev_per_atom=-5.0302 magmom_total_mub_per_cell=0.00 pbc="T T T"
Pm 0.000 0.000 0.000
Pr 0.000 2.595 2.534
Pr 2.595 0.000 2.534
Cd 2.595 2.595 0.000
C 0.000 0.000 2.534

=====

Entry 9:
9
Lattice="-3.082 3.082 4.297 3.082 -3.082 4.297 3.082 3.082 -4.297" Properties=species:S:1:pos:R:3 comment="Pm2Cd2Rh4C (GGA-PBE, relaxed)" ef_ev_per_atom=-0.232 n_ef_per_ev_atom=0.517 spacegroup=I4/mmm dft_energy_ev_per_atom=-5.7829 magmom_total_mub_per_cell=0.00 pbc="T T T"
Pm 0.000 0.000 1.816
Pm 0.000 0.000 6.779
Cd 3.082 0.000 2.149
Cd 0.000 3.082 2.149
Rh 1.623 1.623 0.000
Rh 1.459 -1.459 4.297
Rh -1.459 1.459 4.297
Rh 1.459 1.459 4.297
C 0.000 0.000 4.297

=====

Entry 10:
5
Lattice="5.224 0.000 0.000 0.000 5.224 0.000 0.000 0.000 3.938" Properties=species:S:1:pos:R:3 comment="Pm2CdRuC (GGA-PBE, relaxed)" ef_ev_per_atom=-0.314 n_ef_per_ev_atom=0.456 spacegroup=P4/mmm dft_energy_ev_per_atom=-6.0972 magmom_total_mub_per_cell=0.00 pbc="T T T"
Pm 0.000 2.612 0.000
Pm 2.612 0.000 0.000
Cd 0.000 0.000 1.969
Ru 2.612 2.612 1.969
C 2.612 2.612 0.000

=====

Entry 11:
9
Lattice="7.823 0.000 0.000 -3.911 6.775 0.000 0.000 0.000 3.439" Properties=species:S:1:pos:R:3 comment="Pm3Cd2Ru3C (GGA-PBE, relaxed)" ef_ev_per_atom=0.051 n_ef_per_ev_atom=0.667 spacegroup=P-62m dft_energy_ev_per_atom=-5.8527 magmom_total_mub_per_cell=0.00 pbc="T T T"
Pm -1.336 2.314 0.000
Pm 2.673 0.000 0.000
Pm 2.575 4.460 0.000
Cd 0.000 4.516 1.719
Cd 3.911 2.258 1.719
Ru -3.111 5.389 1.719
Ru 0.800 1.385 1.719
Ru 6.223 0.000 1.719
C 0.000 0.000 0.000

=====

Entry 12:
5
Lattice="5.189 0.000 0.000 0.000 5.189 0.000 0.000 0.000 4.470" Properties=species:S:1:pos:R:3 comment="Pm2ScCdC (GGA-PBE, relaxed)" ef_ev_per_atom=-0.285 n_ef_per_ev_atom=0.682 spacegroup=P4/mmm dft_energy_ev_per_atom=-5.4792 magmom_total_mub_per_cell=0.00 pbc="T T T"
Pm 0.000 2.595 0.000
Pm 2.595 0.000 0.000
Sc 0.000 0.000 2.235
Cd 2.595 2.595 2.235
C 0.000 0.000 0.000

=====

Entry 13:
5
Lattice="5.128 0.000 0.000 0.000 5.128 0.000 0.000 0.000 4.883" Properties=species:S:1:pos:R:3 comment="Pm2YCdC (GGA-PBE, relaxed)" ef_ev_per_atom=-0.232 n_ef_per_ev_atom=1.143 spacegroup=P4/mmm dft_energy_ev_per_atom=-5.4528 magmom_total_mub_per_cell=0.00 pbc="T T T"
Pm 0.000 2.564 0.000
Pm 2.564 0.000 0.000
Y 0.000 0.000 2.442
Cd 2.564 2.564 2.442
C 0.000 0.000 0.000

=====

Entry 14:
5
Lattice="4.919 0.000 0.000 0.000 4.919 0.000 0.000 0.000 5.157" Properties=species:S:1:pos:R:3 comment="PmY2CdC (GGA-PBE, relaxed)" ef_ev_per_atom=-0.282 n_ef_per_ev_atom=1.270 spacegroup=P4/mmm dft_energy_ev_per_atom=-5.8451 magmom_total_mub_per_cell=0.00 pbc="T T T"
Pm 0.000 0.000 0.000
Y 0.000 2.460 2.578
Y 2.460 0.000 2.578
Cd 2.460 2.460 0.000
C 0.000 0.000 2.578

=====

Entry 15:
5
Lattice="5.178 0.000 0.000 0.000 5.178 0.000 0.000 0.000 5.178" Properties=species:S:1:pos:R:3 comment="Pr3CdC (GGA-PBE, relaxed)" ef_ev_per_atom=-0.120 de_polymorph_ev_per_atom=0.000 n_ef_per_ev_atom=1.021 spacegroup=Pm-3m dft_energy_ev_per_atom=-5.0157 magmom_total_mub_per_cell=0.00 pbc="T T T"
Pr 0.000 0.000 2.589
Pr 0.000 2.589 0.000
Pr 2.589 0.000 0.000
Cd 2.589 2.589 2.589
C 0.000 0.000 0.000

=====

Entry 16:
18
Lattice="7.309 0.000 0.000 0.000 7.293 0.000 -7.263 0.000 10.212" Properties=species:S:1:pos:R:3 comment="Pr6Cd2C (GGA-PBE, relaxed)" ef_ev_per_atom=-0.144 n_ef_per_ev_atom=1.115 spacegroup=P2_1/c dft_energy_ev_per_atom=-4.5582 magmom_total_mub_per_cell=0.01 pbc="T T T"
Pr -0.487 0.003 2.621
Pr -4.119 3.643 7.728
Pr -1.760 1.779 5.448
Pr 1.871 1.867 0.341
Pr 1.880 5.435 0.339
Pr -1.751 5.504 5.445
Pr 1.797 1.789 4.767
Pr -1.835 1.858 9.873
Pr -1.826 5.425 9.871
Pr 1.806 5.514 4.765
Pr 0.533 7.290 7.591
Pr 4.165 3.649 2.485
Cd 0.049 3.653 2.578
Cd -3.582 7.287 7.684
Cd 3.628 0.006 2.528
Cd -0.004 3.640 7.634
C 0.023 0.000 5.106
C 3.654 3.646 0.000

=====

Entry 17:
12
Lattice="7.936 0.000 0.000 0.000 3.867 0.000 -2.900 0.000 9.129" Properties=species:S:1:pos:R:3 comment="PrCdC (GGA-PBE, relaxed)" ef_ev_per_atom=-0.182 de_polymorph_ev_per_atom=0.000 n_ef_per_ev_atom=0.413 spacegroup=C2/m dft_energy_ev_per_atom=-5.1547 magmom_total_mub_per_cell=0.00 pbc="T T T"
Pr -0.283 0.000 3.140
Pr 1.350 1.933 5.989
Pr 3.685 1.933 3.140
Pr 5.318 0.000 5.989
Cd 1.199 1.933 0.756
Cd -0.131 0.000 8.373
Cd 5.167 0.000 0.756
Cd 3.837 1.933 8.373
C -0.856 1.933 4.870
C 1.924 0.000 4.259
C 3.112 0.000 4.870
C 5.892 1.933 4.259

=====

Entry 18:
6
Lattice="3.817 0.000 0.000 -1.904 3.558 0.000 -0.016 -1.261 10.281" Properties=species:S:1:pos:R:3 comment="PrCdC (GGA-PBE, relaxed)" ef_ev_per_atom=-0.041 de_polymorph_ev_per_atom=0.141 n_ef_per_ev_atom=0.494 spacegroup=P1 dft_energy_ev_per_atom=-5.0138 magmom_total_mub_per_cell=0.00 pbc="T T T"
Pr 0.000 0.000 0.000
Pr 0.001 0.870 3.393
Cd 1.899 -0.002 7.795
Cd 1.908 2.214 5.921
C 1.909 1.184 1.364
C 1.909 2.218 2.218

=====

Entry 19:
12
Lattice="4.380 -7.298 0.000 4.380 7.298 0.000 -2.910 0.000 5.686" Properties=species:S:1:pos:R:3 comment="Pr4CdC (GGA-PBE, relaxed)" ef_ev_per_atom=-0.037 n_ef_per_ev_atom=1.143 spacegroup=C2/c dft_energy_ev_per_atom=-4.9127 magmom_total_mub_per_cell=0.00 pbc="T T T"
Pr 0.687 4.357 4.931
Pr -0.151 0.706 3.870
Pr 1.304 -0.706 1.027
Pr 3.708 4.357 3.598
Pr 2.142 -4.357 2.088
Pr 4.546 0.706 4.659
Pr 6.001 -0.706 1.816
Pr 5.164 -4.357 0.755
Cd 3.653 1.658 1.421
Cd 2.197 -1.658 4.264
C 2.197 6.226 4.264
C 3.653 -6.226 1.421

=====

Entry 20:
10
Lattice="6.659 0.000 0.000 0.000 5.409 0.000 0.000 0.000 7.546" Properties=species:S:1:pos:R:3 comment="Pr3CdC (GGA-PBE, relaxed)" ef_ev_per_atom=-0.019 de_polymorph_ev_per_atom=0.101 n_ef_per_ev_atom=0.692 spacegroup=Pmma dft_energy_ev_per_atom=-4.9144 magmom_total_mub_per_cell=0.00 pbc="T T T"
Pr 0.000 0.000 0.000
Pr 1.665 0.000 3.109
Pr 1.665 2.705 5.389
Pr 3.329 0.000 0.000
Pr 4.994 0.000 4.437
Pr 4.994 2.705 2.157
Cd 1.665 2.705 1.286
Cd 4.994 2.705 6.260
C 1.665 0.000 5.538
C 4.994 0.000 2.008